(1)
DFT (PBE) results for a geometry-optimized NdZnS structure.

**Raw total energy**: -4.594 eV/atom
**Space group**: R-3m (166)

Cell: 8.043 8.043 8.043 Å, 33.72 33.72 33.72°
Sites, in units of the cell vectors:
Nd 0.086 0.086 0.086
Nd 0.914 0.914 0.914
Zn 0.329 0.329 0.329
Zn 0.671 0.671 0.671
S 0.216 0.216 0.216
S 0.784 0.784 0.784

=====

(2)
DFT (PBE) results for a geometry-optimized Nd3Zn5S12 structure.

**Raw total energy**: -4.380 eV/atom
**Space group**: Ia-3d (230)

Cell: 13.197 13.197 13.197 Å, 109.47 109.47 109.47°
Sites, in units of the cell vectors:
Nd 0.125 0.250 0.375
Nd 0.125 0.375 0.750
Nd 0.250 0.375 0.125
Nd 0.250 0.875 0.625
Nd 0.375 0.125 0.250
Nd 0.375 0.750 0.125
Nd 0.625 0.250 0.875
Nd 0.625 0.875 0.750
Nd 0.750 0.125 0.375
Nd 0.750 0.625 0.875
Nd 0.875 0.625 0.250
Nd 0.875 0.750 0.625
Zn 0.000 0.000 0.000
Zn 0.000 0.000 0.500
Zn 0.000 0.500 0.000
Zn 0.000 0.500 0.500
Zn 0.125 0.750 0.875
Zn 0.125 0.875 0.250
Zn 0.250 0.125 0.875
Zn 0.250 0.625 0.375
Zn 0.375 0.250 0.625
Zn 0.375 0.625 0.750
Zn 0.500 0.000 0.000
Zn 0.500 0.000 0.500
Zn 0.500 0.500 0.000
Zn 0.500 0.500 0.500
Zn 0.625 0.375 0.250
Zn 0.625 0.750 0.375
Zn 0.750 0.375 0.625
Zn 0.750 0.875 0.125
Zn 0.875 0.125 0.750
Zn 0.875 0.250 0.125
S 0.033 0.210 0.122
S 0.033 0.323 0.911
S 0.088 0.710 0.677
S 0.088 0.878 0.411
S 0.089 0.622 0.412
S 0.089 0.967 0.677
S 0.122 0.033 0.210
S 0.122 0.589 0.912
S 0.177 0.210 0.588
S 0.177 0.467 0.589
S 0.210 0.122 0.033
S 0.210 0.588 0.177
S 0.290 0.323 0.912
S 0.290 0.467 0.378
S 0.323 0.911 0.033
S 0.323 0.912 0.290
S 0.378 0.290 0.467
S 0.378 0.588 0.911
S 0.411 0.088 0.878
S 0.411 0.823 0.533
S 0.412 0.089 0.622
S 0.412 0.823 0.790
S 0.467 0.378 0.290
S 0.467 0.589 0.177
S 0.533 0.411 0.823
S 0.533 0.622 0.710
S 0.588 0.177 0.210
S 0.588 0.911 0.378
S 0.589 0.177 0.467
S 0.589 0.912 0.122
S 0.622 0.412 0.089
S 0.622 0.710 0.533
S 0.677 0.088 0.710
S 0.677 0.089 0.967
S 0.710 0.533 0.622
S 0.710 0.677 0.088
S 0.790 0.412 0.823
S 0.790 0.878 0.967
S 0.823 0.533 0.411
S 0.823 0.790 0.412
S 0.878 0.411 0.088
S 0.878 0.967 0.790
S 0.911 0.033 0.323
S 0.911 0.378 0.588
S 0.912 0.122 0.589
S 0.912 0.290 0.323
S 0.967 0.677 0.089
S 0.967 0.790 0.878

=====

(3)
DFT (PBE) results for a geometry-optimized Nd7ZnS5 structure.

**Raw total energy**: -5.854 eV/atom
**Space group**: C2/m (12)

Cell: 7.027 7.027 24.487 Å, 90.04 90.04 33.54°
Sites, in units of the cell vectors:
Nd 0.030 0.030 0.250
Nd 0.136 0.136 0.964
Nd 0.137 0.137 0.536
Nd 0.317 0.317 0.325
Nd 0.318 0.318 0.174
Nd 0.412 0.412 0.893
Nd 0.413 0.413 0.607
Nd 0.587 0.587 0.393
Nd 0.588 0.588 0.107
Nd 0.682 0.682 0.826
Nd 0.683 0.683 0.675
Nd 0.863 0.863 0.464
Nd 0.864 0.864 0.036
Nd 0.970 0.970 0.750
Zn 0.298 0.298 0.750
Zn 0.702 0.702 0.250
S 0.047 0.047 0.642
S 0.047 0.047 0.858
S 0.225 0.225 0.429
S 0.226 0.226 0.071
S 0.500 0.500 0.000
S 0.500 0.500 0.500
S 0.774 0.774 0.929
S 0.775 0.775 0.571
S 0.953 0.953 0.142
S 0.953 0.953 0.358